Entry 1:
Compound: Cu2AuSe
Source: Alexandria
Functional: PBEsol
Structure: relaxed

Cell lengths 2.739, 2.739, 8.206 Å; angles 90.00, 90.00, 88.49 degrees
Fractional coordinates of all 4 atoms:
Au1 0.500 0.500 0.201
Se1 0.000 0.000 0.545
Cu1 0.000 0.000 0.976
Cu2 0.500 0.500 0.778

Calculated values
Raw total energy in Ha/atom: -0.14503
DOS(E_F) in states/eV per cell: 1.34
Total moment in μB per cell: 0.00



Entry 2:
Compound: CuAu3Se
Source: Alexandria
Functional: PBEsol
Structure: relaxed

Cell lengths 4.661, 4.661, 4.661 Å; angles 90.00, 90.00, 90.00 degrees
Fractional coordinates of all 5 atoms:
Au1 0.000 0.500 0.000
Au2 0.000 0.000 0.500
Au3 0.500 0.000 0.000
Se1 0.500 0.500 0.500
Cu1 0.000 0.000 0.000

Calculated values
Raw total energy in Ha/atom: -0.11896
DOS(E_F) in states/eV per cell: 1.55
Total moment in μB per cell: 0.00



Entry 3:
Compound: CuAuSe2
Source: Alexandria
Functional: PBEsol
Structure: relaxed

Cell lengths 4.591, 4.585, 4.585 Å; angles 105.35, 111.59, 111.59 degrees
Fractional coordinates of all 4 atoms:
Se1 0.000 0.000 0.500
Se2 0.000 0.500 0.000
Cu1 0.500 0.000 0.000
Au1 0.500 0.500 0.500

Calculated values
Raw total energy in Ha/atom: -0.14361
DOS(E_F) in states/eV per cell: 1.27
Total moment in μB per cell: 0.00



Entry 4:
Compound: Cu2AuSe
Source: Alexandria
Functional: PBEsol
Structure: relaxed

Cell lengths 2.813, 2.813, 9.067 Å; angles 81.08, 81.08, 60.00 degrees
Fractional coordinates of all 4 atoms:
Cu1 0.008 0.008 0.977
Cu2 0.744 0.744 0.767
Se1 0.486 0.486 0.542
Au1 0.262 0.262 0.214

Calculated values
Raw total energy in Ha/atom: -0.14425
DOS(E_F) in states/eV per cell: 1.26
Total moment in μB per cell: 0.00



Entry 5:
Compound: CuAuSe2
Source: Alexandria
Functional: PBEsol
Structure: relaxed

Cell lengths 3.578, 4.150, 6.178 Å; angles 107.44, 90.00, 115.54 degrees
Fractional coordinates of all 4 atoms:
Au1 0.000 0.000 0.500
Cu1 0.500 0.000 0.000
Se1 0.827 0.654 0.775
Se2 0.173 0.346 0.225

Calculated values
Raw total energy in Ha/atom: -0.14862
DOS(E_F) in states/eV per cell: 1.01
Total moment in μB per cell: 0.00



Entry 6:
Compound: Cu3AuSe
Source: Alexandria
Functional: PBEsol
Structure: relaxed

Cell lengths 4.648, 4.648, 4.648 Å; angles 90.00, 90.00, 90.00 degrees
Fractional coordinates of all 5 atoms:
Cu1 0.500 0.000 0.000
Cu2 0.000 0.000 0.500
Cu3 0.000 0.500 0.000
Se1 0.500 0.500 0.500
Au1 0.000 0.000 0.000

Calculated values
Raw total energy in Ha/atom: -0.11981
DOS(E_F) in states/eV per cell: 1.82
Total moment in μB per cell: 0.00



Entry 7:
Compound: Cu2AuSe
Source: Alexandria
Functional: PBEsol
Structure: relaxed

Cell lengths 4.408, 4.408, 4.408 Å; angles 60.00, 60.00, 60.00 degrees
Fractional coordinates of all 4 atoms:
Au1 0.500 0.500 0.500
Cu1 0.000 0.000 0.000
Cu2 0.750 0.750 0.750
Se1 0.250 0.250 0.250

Calculated values
Raw total energy in Ha/atom: -0.14065
DOS(E_F) in states/eV per cell: 2.27
Total moment in μB per cell: 0.00



Entry 8:
Compound: CuSi4Au
Source: Alexandria
Functional: PBEsol
Structure: relaxed

Cell lengths 5.037, 5.037, 5.037 Å; angles 60.00, 60.00, 60.00 degrees
Fractional coordinates of all 6 atoms:
Si1 0.626 0.626 0.123
Si2 0.123 0.626 0.626
Si3 0.626 0.626 0.626
Si4 0.626 0.123 0.626
Au1 0.250 0.250 0.250
Cu1 0.000 0.000 0.000

Calculated values
Raw total energy in Ha/atom: -0.17287
DOS(E_F) in states/eV per cell: 2.85
Total moment in μB per cell: 0.00



Entry 9:
Compound: CuSiAu2
Source: Alexandria
Functional: PBEsol
Structure: relaxed

Cell lengths 3.833, 3.833, 4.874 Å; angles 113.16, 113.16, 90.00 degrees
Fractional coordinates of all 4 atoms:
Cu1 0.500 0.500 0.000
Au1 0.000 0.000 0.000
Au2 0.750 0.250 0.500
Si1 0.250 0.750 0.500

Calculated values
Raw total energy in Ha/atom: -0.16351
DOS(E_F) in states/eV per cell: 0.92
Total moment in μB per cell: 0.00



Entry 10:
Compound: CuSi2Au
Source: Alexandria
Functional: PBEsol
Structure: relaxed

Cell lengths 5.549, 5.549, 5.549 Å; angles 124.91, 102.35, 102.35 degrees
Fractional coordinates of all 8 atoms:
Cu1 0.000 0.500 0.500
Cu2 0.500 0.250 0.750
Au1 0.000 0.000 0.000
Au2 0.500 0.750 0.250
Si1 0.512 0.375 0.387
Si2 0.988 0.613 0.125
Si3 0.488 0.875 0.863
Si4 0.012 0.137 0.625

Calculated values
DOS(E_F) in states/eV per cell: 3.35
Distance to the lowest polymorph of the same formula in meV per atom: 290
Total moment in μB per cell: 0.00



Entry 11:
Compound: CuSi2Au
Source: Alexandria
Functional: PBEsol
Structure: relaxed

Cell lengths 3.875, 4.105, 4.334 Å; angles 90.00, 103.77, 90.00 degrees
Fractional coordinates of all 4 atoms:
Si1 0.309 0.000 0.172
Si2 0.691 0.000 0.828
Au1 0.500 0.500 0.500
Cu1 0.000 0.500 0.000

Calculated values
DOS(E_F) in states/eV per cell: 0.63
Distance to the lowest polymorph of the same formula in meV per atom: 0
Total moment in μB per cell: 0.00



Entry 12:
Compound: CuSiAu2
Source: Alexandria
Functional: PBEsol
Structure: relaxed

Cell lengths 3.305, 3.418, 5.320 Å; angles 90.00, 90.00, 90.00 degrees
Fractional coordinates of all 4 atoms:
Au1 0.500 0.500 0.280
Au2 0.000 0.000 0.974
Cu1 0.000 0.000 0.493
Si1 0.500 0.500 0.753

Calculated values
Raw total energy in Ha/atom: -0.16488
DOS(E_F) in states/eV per cell: 1.18
Total moment in μB per cell: 0.00